#1
Below is a geometry-optimized K2Re structure, with properties calculated at the GGA-PBE level.

Cell: 5.9597 5.9597 2.7198 Å, 90.00 90.00 120.00°
Last column: nearest neighbours and their distance in Å.
Space group P6/mmm (No. 191)
Asymmetric unit:
K 0.3333 0.6667 0.0000 x2  2 K 2.72
Re 0.0000 0.0000 0.5000 x1  2 Re 2.72

Summary:
As for the theoretical density: 5.248 g cm⁻³. The density of states at the Fermi level is 2.4 states/eV/cell.



#2
Below is a geometry-optimized K2Re structure, with properties calculated at the GGA-PBE level.

Cell: 6.0603 6.0603 7.2238 Å, 90.00 90.00 120.00°
Last column: nearest neighbours and their distance in Å.
Space group P6_3/mmc (No. 194)
Asymmetric unit:
K 0.0000 0.0000 0.0000 x2  8 K 3.61-3.94, 6 Re 3.94
K 0.3333 0.6667 0.2500 x2  5 Re 3.50-3.61
Re 0.3333 0.6667 0.7500 x2  5 K 3.50-3.61

Summary:
As for the theoretical density: 3.822 g cm⁻³. The density of states at the Fermi level is 9.7 states/eV/cell.



Which structure loses on stability? #2 does.



#1
Below is a geometry-optimized K3Re structure, with properties calculated at the GGA-PBE level.

Cell: 7.3066 12.2372 2.9072 Å, 90.00 90.00 90.00°
Last column: nearest neighbours and their distance in Å.
Space group Cmmm (No. 65)
Asymmetric unit:
K 0.0000 0.0000 0.0000 x2  2 K 2.91
K 0.2500 0.2500 0.5000 x4  2 K 2.91
Re 0.0000 0.5000 0.0000 x2  2 Re 2.91

Summary:
As for the theoretical density: 3.878 g cm⁻³. The density of states at the Fermi level is 6.7 states/eV/cell.



#2
Below is a geometry-optimized K3Re structure, with properties calculated at the GGA-PBE level.

Cell: 4.1128 4.1128 40.1831 Å, 90.00 90.00 120.00°
Last column: nearest neighbours and their distance in Å.
Space group R-3m (No. 166, hexagonal axes)
Asymmetric unit:
K 0.0000 0.0000 0.0000 x3  6 K 4.11
K 0.0000 0.0000 0.2287 x6  3 Re 3.44
Re 0.0000 0.0000 0.5000 x3  6 K 3.44

Summary:
As for the theoretical density: 2.568 g cm⁻³. The density of states at the Fermi level is 12.3 states/eV/cell.



#3
Below is a geometry-optimized K3Re structure, with properties calculated at the GGA-PBE level.

Cell: 8.7762 8.7762 8.7762 Å, 90.00 90.00 90.00°
Last column: nearest neighbours and their distance in Å.
Space group Fm-3m (No. 225)
Asymmetric unit:
K 0.0000 0.0000 0.0000 x4  8 K 3.80
K 0.2500 0.2500 0.2500 x8  4 K 3.80, 4 Re 3.80
Re 0.0000 0.0000 0.5000 x4  8 K 3.80

Summary:
As for the theoretical density: 2.982 g cm⁻³. The density of states at the Fermi level is 25.2 states/eV/cell.



Which structure loses on stability? #2 does.